A relaxed Pr2NdB2Pt2N3 crystal, computed with PBE.

a = 10.687 Å, b = 10.687 Å, c = 10.687 Å
α = 159.59°, β = 159.59°, γ = 29.02°
Positions (direct):
N: 0.881 0.881 0.000
N: 0.119 0.119 0.000
N: 0.500 0.500 0.000
Pr: 0.378 0.378 0.000
Pr: 0.622 0.622 0.000
B: 0.188 0.188 0.000
B: 0.812 0.812 0.000
Nd: 0.000 0.000 0.000
Pt: 0.750 0.250 0.500
Pt: 0.250 0.750 0.500

Values from the calculation:
Total DFT energy (no corrections): -76.19 eV/cell
Spin magnetization: 0.02 μB/cell
Space-group type: No. 139